(1)
Computed, not measured: a relaxed structure of La2ZrOs at the PBE level of DFT.

For the density of states at the Fermi level, the calculation gives 5.05 states/eV per cell. As for the energy above the lowest structure with this stoichiometry: 0.000 eV per atom. The value obtained for the energy of formation is -56 meV/atom.

It has space group P4mm (No. 99), with a = 3.412 Å, b = 3.412 Å, c = 9.207 Å, α = 90.00°, β = 90.00° and γ = 90.00°. Symmetry generates all atoms from La at (0.000, 0.000, 0.000), La at (0.500, 0.500, 0.355), Zr at (0.500, 0.500, 0.722) and Os at (0.000, 0.000, 0.569).

=====

(2)
Computed, not measured: a relaxed structure of LaZr2Os at the PBE level of DFT.

For the density of states at the Fermi level, the calculation gives 4.52 states/eV per cell. As for the energy above the lowest structure with this stoichiometry: 0.208 eV per atom. The value obtained for the energy of formation is 69 meV/atom.

It has space group Pm (No. 6), with a = 3.279 Å, b = 4.414 Å, c = 6.620 Å, α = 90.00°, β = 98.12° and γ = 90.00°. Symmetry generates all atoms from La at (0.000, 0.000, 0.000), Zr at (0.395, 0.500, 0.658), Zr at (0.875, 0.000, 0.437) and Os at (0.473, 0.500, 0.274).

=====

(3)
Computed, not measured: a relaxed structure of LaZrOs2 at the PBE level of DFT.

For the density of states at the Fermi level, the calculation gives 8.03 states/eV per cell. The value obtained for the energy of formation is 39 meV/atom.

It has space group Amm2 (No. 38), with a = 4.089 Å, b = 4.126 Å, c = 10.642 Å, α = 90.00°, β = 90.00° and γ = 90.00°. Symmetry generates all atoms from La at (0.000, 0.000, 0.000), Zr at (0.500, 0.000, 0.704), Os at (0.000, 0.000, 0.272) and Os at (0.500, 0.000, 0.401).

=====

(4)
Computed, not measured: a relaxed structure of LaZrOs2 at the PBE level of DFT.

For the density of states at the Fermi level, the calculation gives 2.27 states/eV per cell. The value obtained for the energy of formation is 40 meV/atom.

It has space group P4/mmm (No. 123), with a = 4.865 Å, b = 4.865 Å, c = 3.399 Å, α = 90.00°, β = 90.00° and γ = 90.00°. Symmetry generates all atoms from La at (0.000, 0.000, 0.000), Zr at (0.500, 0.500, 0.000) and Os at (0.000, 0.500, 0.500).

=====

(5)
Computed, not measured: a relaxed structure of LaZr4Os at the PBE level of DFT.

For the density of states at the Fermi level, the calculation gives 27.89 states/eV per cell. The value obtained for the energy of formation is 483 meV/atom.

It has space group F-43m (No. 216), with a = 8.143 Å, b = 8.143 Å, c = 8.143 Å, α = 90.00°, β = 90.00° and γ = 90.00°. Symmetry generates all atoms from La at (0.000, 0.000, 0.000), Zr at (0.124, 0.124, 0.376) and Os at (0.250, 0.250, 0.750).

=====

(6)
Computed, not measured: a relaxed structure of LaZrOs2 at the PBE level of DFT.

For the density of states at the Fermi level, the calculation gives 13.03 states/eV per cell. The value obtained for the energy of formation is 436 meV/atom.

It has space group I-42d (No. 122), with a = 7.512 Å, b = 7.512 Å, c = 5.894 Å, α = 90.00°, β = 90.00° and γ = 90.00°. Symmetry generates all atoms from La at (0.000, 0.000, 0.000), Zr at (0.000, 0.000, 0.500) and Os at (0.236, 0.750, 0.625).

=====

(7)
Computed, not measured: a relaxed structure of LaZr2Os at the PBE level of DFT.

For the density of states at the Fermi level, the calculation gives 7.39 states/eV per cell. As for the energy above the lowest structure with this stoichiometry: 0.132 eV per atom. The value obtained for the energy of formation is -6 meV/atom.

It has space group Imm2 (No. 44), with a = 3.442 Å, b = 5.047 Å, c = 10.606 Å, α = 90.00°, β = 90.00° and γ = 90.00°. Symmetry generates all atoms from La at (0.000, 0.000, 0.000), Zr at (0.000, 0.000, 0.579), Zr at (0.000, 0.500, 0.782) and Os at (0.000, 0.500, 0.269).

=====

(8)
Computed, not measured: a relaxed structure of La2ZrOs at the PBE level of DFT.

For the density of states at the Fermi level, the calculation gives 4.88 states/eV per cell. As for the energy above the lowest structure with this stoichiometry: 0.168 eV per atom. The value obtained for the energy of formation is 112 meV/atom.

It has space group Pm (No. 6), with a = 3.400 Å, b = 4.434 Å, c = 6.726 Å, α = 90.00°, β = 102.84° and γ = 90.00°. Symmetry generates all atoms from La at (0.000, 0.000, 0.000), La at (0.402, 0.500, 0.699), Zr at (0.860, 0.000, 0.420) and Os at (0.466, 0.500, 0.259).

=====

(9)
Computed, not measured: a relaxed structure of LaZrOs2 at the PBE level of DFT.

For the density of states at the Fermi level, the calculation gives 7.95 states/eV per cell. The value obtained for the energy of formation is 341 meV/atom.

It has space group Immm (No. 71), with a = 3.418 Å, b = 5.139 Å, c = 8.893 Å, α = 90.00°, β = 90.00° and γ = 90.00°. Symmetry generates all atoms from La at (0.000, 0.000, 0.000), Zr at (0.000, 0.000, 0.500) and Os at (0.000, 0.500, 0.245).

=====

(10)
Computed, not measured: a relaxed structure of La2ZrOs at the PBE level of DFT.

For the density of states at the Fermi level, the calculation gives 4.59 states/eV per cell. As for the energy above the lowest structure with this stoichiometry: 0.363 eV per atom. The value obtained for the energy of formation is 308 meV/atom.

It has space group P2/m (No. 10), with a = 3.534 Å, b = 4.641 Å, c = 6.291 Å, α = 90.00°, β = 101.84° and γ = 90.00°. Symmetry generates all atoms from La at (0.086, 0.000, 0.274), Zr at (0.500, 0.500, 0.000) and Os at (0.500, 0.500, 0.500).

=====

(11)
Computed, not measured: a relaxed structure of La2ZrOs at the PBE level of DFT.

For the density of states at the Fermi level, the calculation gives 12.04 states/eV per cell. As for the energy above the lowest structure with this stoichiometry: 0.120 eV per atom. The value obtained for the energy of formation is 64 meV/atom.

It has space group Immm (No. 71), with a = 3.315 Å, b = 4.528 Å, c = 15.839 Å, α = 90.00°, β = 90.00° and γ = 90.00°. Symmetry generates all atoms from La at (0.000, 0.000, 0.156), Zr at (0.000, 0.500, 0.000) and Os at (0.000, 0.500, 0.500).

=====

(12)
Computed, not measured: a relaxed structure of La2ZrOs at the PBE level of DFT.

For the density of states at the Fermi level, the calculation gives 8.49 states/eV per cell. As for the energy above the lowest structure with this stoichiometry: 0.449 eV per atom. The value obtained for the energy of formation is 393 meV/atom.

It has space group Cmmm (No. 65), with a = 6.038 Å, b = 9.341 Å, c = 3.463 Å, α = 90.00°, β = 90.00° and γ = 90.00°. Symmetry generates all atoms from La at (0.250, 0.250, 0.000), Zr at (0.000, 0.000, 0.500) and Os at (0.000, 0.500, 0.500).

=====

(13)
Computed, not measured: a relaxed structure of LaZrOs2 at the PBE level of DFT.

For the density of states at the Fermi level, the calculation gives 6.71 states/eV per cell. The value obtained for the energy of formation is 245 meV/atom.

It has space group C2/m (No. 12), with a = 8.625 Å, b = 3.211 Å, c = 6.322 Å, α = 90.00°, β = 100.09° and γ = 90.00°. Symmetry generates all atoms from La at (0.000, 0.000, 0.000), Zr at (0.000, 0.500, 0.500) and Os at (0.241, 0.000, 0.684).

=====

(14)
Computed, not measured: a relaxed structure of La3P at the PBE level of DFT.

For the density of states at the Fermi level, the calculation gives 13.96 states/eV per cell. As for the energy above the lowest structure with this stoichiometry: 0.150 eV per atom. The value obtained for the energy of formation is -604 meV/atom.

It has space group Cmmm (No. 65), with a = 5.879 Å, b = 12.221 Å, c = 3.956 Å, α = 90.00°, β = 90.00° and γ = 90.00°. Symmetry generates all atoms from La at (0.000, 0.000, 0.000), La at (0.000, 0.332, 0.500) and P at (0.000, 0.500, 0.000).

=====

| no. | total DFT energy (no corrections) (Ry/atom) | density (g/cm3) |
| --- | --- | --- |
| 1 | -0.549 | 8.662 |
| 2 | -0.606 | 8.956 |
| 3 | -0.657 | 11.294 |
| 4 | -0.657 | 12.603 |
| 5 | -0.581 | 8.539 |
| 6 | -0.628 | 12.192 |
| 7 | -0.611 | 9.221 |
| 8 | -0.536 | 9.393 |
| 9 | -0.635 | 12.982 |
| 10 | -0.522 | 9.196 |
| 11 | -0.540 | 7.812 |
| 12 | -0.516 | 9.509 |
| 13 | -0.642 | 11.763 |
| 14 | -0.415 | 5.231 |